(1)
Material: SbSIN2
Method: DFT, GGA-PBE
State: relaxed

Output
Its distance to the lowest polymorph of the same formula is 29.1 kJ/mol of formula units. The spin magnetization comes out at 0.66 μB per formula unit. For the total energy, the calculation gives -3.910 eV/atom. The density of states at the Fermi level comes out at 0.626 states/eV per atom. Its energy relative to the elements, uncorrected is 666 kJ/mol of formula units.

```
data_SbSIN2
_cell_length_a 3.989
_cell_length_b 3.989
_cell_length_c 7.446
_cell_angle_alpha 90.00
_cell_angle_beta 90.00
_cell_angle_gamma 90.00
_space_group_name_H-M_alt 'P 4/m m m'
_space_group_IT_number 123
_space_group_name_Hall '-P 4 2'
loop_
_atom_site_label
_atom_site_type_symbol
_atom_site_fract_x
_atom_site_fract_y
_atom_site_fract_z
Sb1 Sb 0.000 0.000 0.000
S1 S 0.500 0.500 0.500
I1 I 0.000 0.000 0.500
N1 N 0.000 0.500 0.000
```

(2)
Material: SbSI2N
Method: DFT, GGA-PBE
State: relaxed

Output
Its distance to the lowest polymorph of the same formula is 123.4 kJ/mol of formula units. The spin magnetization comes out at 0.00 μB per formula unit. For the total energy, the calculation gives -2.845 eV/atom. The density of states at the Fermi level comes out at 0.840 states/eV per atom. Its energy relative to the elements, uncorrected is 526 kJ/mol of formula units.

```
data_SbSI2N
_cell_length_a 4.731
_cell_length_b 4.731
_cell_length_c 5.292
_cell_angle_alpha 90.00
_cell_angle_beta 90.00
_cell_angle_gamma 90.00
_space_group_name_H-M_alt 'P 4/m m m'
_space_group_IT_number 123
_space_group_name_Hall '-P 4 2'
loop_
_atom_site_label
_atom_site_type_symbol
_atom_site_fract_x
_atom_site_fract_y
_atom_site_fract_z
Sb1 Sb 0.000 0.000 0.000
S1 S 0.500 0.500 0.000
I1 I 0.000 0.500 0.500
N1 N 0.000 0.000 0.500
```

(3)
Material: SbSIN2
Method: DFT, GGA-PBE
State: relaxed

Output
Its distance to the lowest polymorph of the same formula is 0.0 kJ/mol of formula units. The spin magnetization comes out at 0.77 μB per formula unit. For the total energy, the calculation gives -3.971 eV/atom. The density of states at the Fermi level comes out at 0.754 states/eV per atom. Its energy relative to the elements, uncorrected is 637 kJ/mol of formula units.

```
data_SbSIN2
_cell_length_a 4.011
_cell_length_b 4.011
_cell_length_c 6.218
_cell_angle_alpha 90.00
_cell_angle_beta 90.00
_cell_angle_gamma 90.00
_space_group_name_H-M_alt 'P 4/m m m'
_space_group_IT_number 123
_space_group_name_Hall '-P 4 2'
loop_
_atom_site_label
_atom_site_type_symbol
_atom_site_fract_x
_atom_site_fract_y
_atom_site_fract_z
Sb1 Sb 0.000 0.000 0.000
S1 S 0.000 0.000 0.500
I1 I 0.500 0.500 0.500
N1 N 0.000 0.500 0.000
```

(4)
Material: SbSI2N
Method: DFT, GGA-PBE
State: relaxed

Output
Its distance to the lowest polymorph of the same formula is 100.3 kJ/mol of formula units. The spin magnetization comes out at 2.82 μB per formula unit. For the total energy, the calculation gives -2.893 eV/atom. The density of states at the Fermi level comes out at 0.820 states/eV per atom. Its energy relative to the elements, uncorrected is 503 kJ/mol of formula units.

```
data_SbSI2N
_cell_length_a 6.155
_cell_length_b 6.155
_cell_length_c 3.978
_cell_angle_alpha 90.00
_cell_angle_beta 90.00
_cell_angle_gamma 90.00
_space_group_name_H-M_alt 'P 4/m m m'
_space_group_IT_number 123
_space_group_name_Hall '-P 4 2'
loop_
_atom_site_label
_atom_site_type_symbol
_atom_site_fract_x
_atom_site_fract_y
_atom_site_fract_z
Sb1 Sb 0.000 0.000 0.000
S1 S 0.500 0.500 0.500
I1 I 0.000 0.500 0.000
N1 N 0.000 0.000 0.500
```

(5)
Material: SbSI2N
Method: DFT, GGA-PBE
State: relaxed

Output
Its distance to the lowest polymorph of the same formula is 0.0 kJ/mol of formula units. The spin magnetization comes out at 0.00 μB per formula unit. For the total energy, the calculation gives -3.101 eV/atom. The density of states at the Fermi level comes out at 0.675 states/eV per atom. Its energy relative to the elements, uncorrected is 402 kJ/mol of formula units.

```
data_SbSI2N
_cell_length_a 6.466
_cell_length_b 6.466
_cell_length_c 3.330
_cell_angle_alpha 90.00
_cell_angle_beta 90.00
_cell_angle_gamma 90.00
_space_group_name_H-M_alt 'P 4/m m m'
_space_group_IT_number 123
_space_group_name_Hall '-P 4 2'
loop_
_atom_site_label
_atom_site_type_symbol
_atom_site_fract_x
_atom_site_fract_y
_atom_site_fract_z
Sb1 Sb 0.000 0.000 0.000
S1 S 0.500 0.500 0.500
I1 I 0.000 0.500 0.500
N1 N 0.500 0.500 0.000
```

(6)
Material: SbSIN2
Method: DFT, GGA-PBE
State: relaxed

Output
Its distance to the lowest polymorph of the same formula is 183.6 kJ/mol of formula units. The spin magnetization comes out at 0.16 μB per formula unit. For the total energy, the calculation gives -3.590 eV/atom. The density of states at the Fermi level comes out at 0.446 states/eV per atom. Its energy relative to the elements, uncorrected is 820 kJ/mol of formula units.

```
data_SbSIN2
_cell_length_a 4.116
_cell_length_b 4.116
_cell_length_c 5.207
_cell_angle_alpha 90.00
_cell_angle_beta 90.00
_cell_angle_gamma 90.00
_space_group_name_H-M_alt 'P 4/m m m'
_space_group_IT_number 123
_space_group_name_Hall '-P 4 2'
loop_
_atom_site_label
_atom_site_type_symbol
_atom_site_fract_x
_atom_site_fract_y
_atom_site_fract_z
Sb1 Sb 0.000 0.000 0.000
S1 S 0.500 0.500 0.000
I1 I 0.500 0.500 0.500
N1 N 0.000 0.500 0.500
```